[1]
Ti12In6Sb | PBE | optimized geometry

a = 7.1643 Å, b = 7.1643 Å, c = 7.1643 Å
α = 92.36°, β = 92.36°, γ = 92.36°
Positions (direct):
Ti: 0.2146 0.4627 0.5458
Ti: 0.4542 0.7854 0.5373
Ti: 0.4627 0.5458 0.2146
Ti: 0.3748 0.0654 0.1466
Ti: 0.8534 0.6252 0.9346
Ti: 0.7854 0.5373 0.4542
Ti: 0.6252 0.9346 0.8534
Ti: 0.5458 0.2146 0.4627
Ti: 0.9346 0.8534 0.6252
Ti: 0.1466 0.3748 0.0654
Ti: 0.5373 0.4542 0.7854
Ti: 0.0654 0.1466 0.3748
In: 0.8793 0.2675 0.7086
In: 0.7086 0.8793 0.2675
In: 0.7325 0.2914 0.1207
In: 0.2675 0.7086 0.8793
In: 0.1207 0.7325 0.2914
In: 0.2914 0.1207 0.7325
Sb: 0.0000 0.0000 0.0000

VASP energy, eV per atom: -6.05
E_form (uncorrected), eV per atom: 0.0212
SG: R-3
Total moment, μB per formula unit: 0.001



[2]
PrFeGe2 | PBE | optimized geometry

a = 4.2499 Å, b = 7.0285 Å, c = 10.2674 Å
α = 90.00°, β = 90.00°, γ = 90.00°
Positions (direct):
Ge: 0.7500 0.1442 0.8150
Ge: 0.2500 0.3310 0.9251
Ge: 0.2500 0.3558 0.3150
Ge: 0.7500 0.6690 0.0749
Ge: 0.2500 0.8310 0.5749
Ge: 0.7500 0.6442 0.6850
Ge: 0.2500 0.8558 0.1850
Ge: 0.7500 0.1690 0.4251
Pr: 0.2500 0.3315 0.6250
Pr: 0.2500 0.8315 0.8750
Pr: 0.7500 0.6685 0.3750
Pr: 0.7500 0.1685 0.1250
Fe: 0.7500 0.9843 0.6128
Fe: 0.2500 0.5157 0.1128
Fe: 0.2500 0.0157 0.3872
Fe: 0.7500 0.4843 0.8872

VASP energy, eV per atom: -6.14
SG: Pnma
Total moment, μB per formula unit: 0.696
E_form, eV per atom: -0.52



[3]
PRh3 | PBE | optimized geometry

a = 3.2511 Å, b = 5.5161 Å, c = 6.4666 Å
α = 90.00°, β = 90.00°, γ = 90.00°
Positions (direct):
P: 0.5000 0.5000 0.2763
P: 0.0000 0.0000 0.7237
Rh: 0.5000 0.0000 0.4626
Rh: 0.0000 0.5000 0.5374
Rh: 0.0000 0.2375 0.1686
Rh: 0.5000 0.2625 0.8314
Rh: 0.5000 0.7375 0.8314
Rh: 0.0000 0.7625 0.1686

VASP energy, eV per atom: -7.14
SG: Pmmn
Total moment, μB per formula unit: 0.000
E_form, eV per atom: -0.28



[4]
Ce2Tl2Cd3 | PBE | optimized geometry

a = 3.1966 Å, b = 4.6946 Å, c = 12.5308 Å
α = 100.80°, β = 90.00°, γ = 90.00°
Positions (direct):
Cd: 0.5000 0.5641 0.1282
Cd: 0.0000 0.0000 0.0000
Cd: 0.5000 0.4359 0.8718
Ce: 0.0000 0.8583 0.7166
Ce: 0.0000 0.1417 0.2834
Tl: 0.5000 0.2885 0.5771
Tl: 0.5000 0.7115 0.4229

VASP energy, eV per atom: -2.86
SG: Cmmm
Total moment, μB per formula unit: 2.703
E_form, eV per atom: -0.10



[5]
RbBaSnOs2 | PBE | optimized geometry

a = 5.2522 Å, b = 5.8944 Å, c = 5.2522 Å
α = 90.00°, β = 90.00°, γ = 90.00°
Positions (direct):
Os: 0.0000 0.0000 0.5000
Os: 0.5000 0.0000 0.0000
Sn: 0.5000 0.5000 0.5000
Ba: 0.0000 0.0000 0.0000
Rb: 0.0000 0.5000 0.0000

VASP energy, eV per atom: -3.46
SG: P4/mmm
Total moment, μB per formula unit: 0.982
E_form, eV per atom: 2.41



[6]
Pr3Sn2Pb | PBE | optimized geometry

a = 4.7719 Å, b = 12.2264 Å, c = 13.1111 Å
α = 90.00°, β = 90.00°, γ = 90.00°
Positions (direct):
Sn: 0.2500 0.6993 0.5017
Sn: 0.2500 0.9689 0.3145
Sn: 0.2500 0.8007 0.0017
Sn: 0.7500 0.3007 0.4983
Sn: 0.7500 0.4689 0.1855
Sn: 0.7500 0.1993 0.9983
Sn: 0.7500 0.0311 0.6855
Sn: 0.2500 0.5311 0.8145
Pr: 0.2500 0.1179 0.5415
Pr: 0.7500 0.8821 0.4585
Pr: 0.2500 0.3821 0.0415
Pr: 0.7500 0.6179 0.9585
Pr: 0.2500 0.6934 0.2159
Pr: 0.7500 0.9311 0.1252
Pr: 0.2500 0.4311 0.3748
Pr: 0.2500 0.8066 0.7159
Pr: 0.7500 0.1934 0.2841
Pr: 0.2500 0.0689 0.8748
Pr: 0.7500 0.5689 0.6252
Pr: 0.7500 0.3066 0.7841
Pb: 0.2500 0.1265 0.1314
Pb: 0.7500 0.6265 0.3686
Pb: 0.2500 0.3735 0.6314
Pb: 0.7500 0.8735 0.8686

VASP energy, eV per atom: -4.91
SG: Pnma
Total moment, μB per formula unit: 0.000
Offset from the most stable computed form, eV/atom: 0.0313
E_form, eV per atom: -0.57



[7]
NaAcPd2 | PBE | optimized geometry

a = 3.8783 Å, b = 4.9254 Å, c = 4.9254 Å
α = 90.00°, β = 90.00°, γ = 90.00°
Positions (direct):
Ac: 0.5000 0.5000 0.5000
Pd: 0.0000 0.5000 0.0000
Pd: 0.0000 0.0000 0.5000
Na: 0.5000 0.0000 0.0000

VASP energy, eV per atom: -4.38
SG: P4/mmm
Total moment, μB per formula unit: 0.000
E_form, eV per atom: -0.43



[8]
BaSr3Pd | PBE | optimized geometry

a = 4.3085 Å, b = 11.5642 Å, c = 11.5642 Å
α = 138.03°, β = 90.00°, γ = 90.00°
Positions (direct):
Sr: 0.5000 0.1731 0.3317
Sr: 0.5000 0.6683 0.8269
Sr: 0.0000 0.2765 0.7235
Pd: 0.0000 0.4127 0.5873
Ba: 0.5000 0.0975 0.9025

VASP energy, eV per atom: -2.27
SG: Amm2
Total moment, μB per formula unit: 0.000
Offset from the most stable computed form, eV/atom: 0.4643
E_form, eV per atom: 0.17